[1]
VASP calculation (PBE) on crystalline Ni9Ge2As at its relaxed geometry.

**Energy of formation from the pure elements**: -249 meV/atom
**DOS(E_F)**: 0.442 states/eV/atom

Cell: 3.5817 3.5817 10.7365 Å, 90.00 90.00 90.00°
Last column: nearest neighbours and their distance in Å.
Space group P4/mmm (No. 123)
Symmetry-distinct sites (fractional):
Ni (0.0000, 0.0000, 0.0000) x1  8 Ni 2.53, 4 As 2.53
Ni (0.0000, 0.0000, 0.3327) x2  8 Ni 2.53-2.54, 4 Ge 2.53
Ni (0.0000, 0.5000, 0.1668) x4  8 Ni 2.53, 2 As 2.53, 2 Ge 2.54
Ni (0.0000, 0.5000, 0.5000) x2  4 Ge 2.52, 8 Ni 2.53-2.54
Ge (0.5000, 0.5000, 0.3350) x2  12 Ni 2.52-2.54
As (0.5000, 0.5000, 0.0000) x1  12 Ni 2.53

---

[2]
VASP calculation (PBE) on crystalline Np2Ni4GeAs3 at its relaxed geometry.

**Energy of formation from the pure elements**: -481 meV/atom
**DOS(E_F)**: 2.171 states/eV/atom

Cell: 4.1256 4.1256 9.4783 Å, 90.00 90.00 90.00°
Last column: nearest neighbours and their distance in Å.
Space group P-4m2 (No. 115)
Symmetry-distinct sites (fractional):
Np (0.0000, 0.5000, 0.2476) x2  6 As 3.11-3.16, 8 Ni 3.12-3.17, 2 Ge 3.16
Ni (0.0000, 0.0000, 0.0000) x1  4 As 2.42
Ni (0.0000, 0.5000, 0.6227) x2  3 As 2.31-2.37, 2 Ge 2.37
Ni (0.5000, 0.5000, 0.0000) x1  4 As 2.42
Ge (0.0000, 0.0000, 0.5000) x1  4 Ni 2.37
As (0.0000, 0.5000, 0.8669) x2  5 Ni 2.31-2.42
As (0.5000, 0.5000, 0.5000) x1  4 Ni 2.37

---

[3]
VASP calculation (PBE) on crystalline NpNi7Ge2As2 at its relaxed geometry.

**Energy of formation from the pure elements**: -3 meV/atom
**DOS(E_F)**: 1.043 states/eV/atom

Cell: 5.4770 6.2800 10.2952 Å, 90.00 93.91 90.00°
Last column: nearest neighbours and their distance in Å.
Space group C2/m (No. 12)
Symmetry-distinct sites (fractional):
Np (0.0000, 0.0000, 0.0000) x2  10 Ni 2.74-2.86
Ni (0.0000, 0.5000, 0.0000) x2  4 Ni 2.58, 2 Np 2.74
Ni (0.2225, 0.2787, 0.1824) x8  2 As 2.41-2.46, 2 Ge 2.41-2.59, 1 Ni 2.58
Ni (0.2406, 0.5000, 0.4909) x4  2 Ge 2.36-2.37, 2 As 2.39-2.45
Ge (0.0019, 0.0000, 0.6836) x4  6 Ni 2.36-2.59, 1 As 2.54
As (0.0407, 0.5000, 0.6970) x4  6 Ni 2.39-2.46, 1 Ge 2.54

---

[4]
VASP calculation (PBE) on crystalline Np2Ni4Ge3As at its relaxed geometry.

**Energy of formation from the pure elements**: -384 meV/atom
**DOS(E_F)**: 2.319 states/eV/atom

Cell: 4.1604 4.1604 9.3734 Å, 90.00 90.00 90.00°
Last column: nearest neighbours and their distance in Å.
Space group P-4m2 (No. 115)
Symmetry-distinct sites (fractional):
Np (0.0000, 0.5000, 0.2467) x2  8 Ni 3.11-3.20, 6 Ge 3.14-3.16, 2 As 3.16
Ni (0.0000, 0.0000, 0.0000) x1  4 Ge 2.41
Ni (0.0000, 0.5000, 0.6203) x2  3 Ge 2.34-2.37, 2 As 2.37
Ni (0.5000, 0.5000, 0.0000) x1  4 Ge 2.41
Ge (0.0000, 0.5000, 0.8694) x2  5 Ni 2.34-2.41
Ge (0.5000, 0.5000, 0.5000) x1  4 Ni 2.37
As (0.0000, 0.0000, 0.5000) x1  4 Ni 2.37